w:
Below is a relaxed TlCdSF crystal, with properties calculated at the GGA-PBE level.

Summary:
SG = No. 129

a b c (Å): 3.8897 3.8897 12.5257
angles (deg): 90.00 90.00 90.00
Element x y z (fractional)
S (0.5000, 0.0000, 0.3874)
S (0.0000, 0.5000, 0.6126)
Cd (0.0000, 0.5000, 0.4045)
Cd (0.5000, 0.0000, 0.5955)
F (0.5000, 0.5000, 0.0000)
F (0.0000, 0.0000, 0.0000)
Tl (0.0000, 0.5000, 0.8779)
Tl (0.5000, 0.0000, 0.1221)

---

x:
Below is a relaxed TlCdSF crystal, with properties calculated at the GGA-PBE level.

Summary:
SG = No. 166

a b c (Å): 11.9670 11.9670 11.9670
angles (deg): 19.47 19.47 19.47
Element x y z (fractional)
Tl (0.2032, 0.2032, 0.2032)
Tl (0.7968, 0.7968, 0.7968)
S (0.9179, 0.9179, 0.9179)
S (0.0821, 0.0821, 0.0821)
F (0.6874, 0.6874, 0.6874)
F (0.3126, 0.3126, 0.3126)
Cd (0.3764, 0.3764, 0.3764)
Cd (0.6236, 0.6236, 0.6236)

---

x ends up most stable, edging out the next structure by 45 meV per atom.

---

w:
Below is a relaxed TlCdSeF crystal, with properties calculated at the GGA-PBE level.

Summary:
SG = No. 19

a b c (Å): 6.8862 7.3784 7.4063
angles (deg): 90.00 90.00 90.00
Element x y z (fractional)
Tl (0.1667, 0.3184, 0.9183)
Tl (0.8333, 0.8184, 0.5817)
Tl (0.3333, 0.6816, 0.4183)
Tl (0.6667, 0.1816, 0.0817)
F (0.4249, 0.3302, 0.3144)
F (0.5751, 0.8302, 0.1856)
F (0.0751, 0.6698, 0.8144)
F (0.9249, 0.1698, 0.6856)
Se (0.9189, 0.4469, 0.3422)
Se (0.4189, 0.0531, 0.6578)
Se (0.5811, 0.5531, 0.8422)
Se (0.0811, 0.9469, 0.1578)
Cd (0.6557, 0.3227, 0.5679)
Cd (0.1557, 0.1773, 0.4321)
Cd (0.3443, 0.8227, 0.9321)
Cd (0.8443, 0.6773, 0.0679)

---

x:
Below is a relaxed TlCdSeF crystal, with properties calculated at the GGA-PBE level.

Summary:
SG = No. 55

a b c (Å): 9.8732 19.1097 4.1726
angles (deg): 90.00 90.00 90.00
Element x y z (fractional)
Tl (0.7731, 0.6312, 0.5000)
Tl (0.9627, 0.2618, 0.5000)
Tl (0.5373, 0.7618, 0.5000)
Tl (0.7269, 0.1312, 0.5000)
Tl (0.0373, 0.7382, 0.5000)
Tl (0.2731, 0.8688, 0.5000)
Tl (0.4627, 0.2382, 0.5000)
Tl (0.2269, 0.3688, 0.5000)
F (0.9945, 0.1160, 0.5000)
F (0.0055, 0.8840, 0.5000)
F (0.4945, 0.3840, 0.5000)
F (0.0180, 0.5785, 0.5000)
F (0.9820, 0.4215, 0.5000)
F (0.5180, 0.9215, 0.5000)
F (0.5055, 0.6160, 0.5000)
F (0.4820, 0.0785, 0.5000)
Cd (0.0655, 0.0890, 0.0000)
Cd (0.3849, 0.0775, 0.0000)
Cd (0.1151, 0.5775, 0.0000)
Cd (0.4345, 0.5890, 0.0000)
Cd (0.9345, 0.9110, 0.0000)
Cd (0.6151, 0.9225, 0.0000)
Cd (0.8849, 0.4225, 0.0000)
Cd (0.5655, 0.4110, 0.0000)
Se (0.2490, 0.1957, 0.0000)
Se (0.7862, 0.0282, 0.0000)
Se (0.2510, 0.6957, 0.0000)
Se (0.7510, 0.8043, 0.0000)
Se (0.7490, 0.3043, 0.0000)
Se (0.2862, 0.4718, 0.0000)
Se (0.7138, 0.5282, 0.0000)
Se (0.2138, 0.9718, 0.0000)

---

w ends up most stable, edging out the next structure by 100 meV per atom.

---

w:
Below is a relaxed TlCdSeF crystal, with properties calculated at the GGA-PBE level.

Summary:
SG = No. 129

a b c (Å): 4.0171 4.0171 12.5005
angles (deg): 90.00 90.00 90.00
Element x y z (fractional)
Tl (0.5000, 0.0000, 0.1171)
Tl (0.0000, 0.5000, 0.8829)
F (0.5000, 0.5000, 0.0000)
F (0.0000, 0.0000, 0.0000)
Cd (0.0000, 0.5000, 0.4026)
Cd (0.5000, 0.0000, 0.5974)
Se (0.0000, 0.5000, 0.6191)
Se (0.5000, 0.0000, 0.3809)

---

x:
Below is a relaxed TlCdSeF crystal, with properties calculated at the GGA-PBE level.

Summary:
SG = No. 19

a b c (Å): 6.9016 7.4969 7.5021
angles (deg): 90.00 90.00 90.00
Element x y z (fractional)
Se (0.1071, 0.3330, 0.4027)
Se (0.6071, 0.1670, 0.5973)
Se (0.3929, 0.6670, 0.9027)
Se (0.8929, 0.8330, 0.0973)
F (0.4438, 0.1885, 0.0355)
F (0.0562, 0.8115, 0.5355)
F (0.5562, 0.6885, 0.4645)
F (0.9438, 0.3115, 0.9645)
Tl (0.1985, 0.0598, 0.7522)
Tl (0.6985, 0.4402, 0.2478)
Tl (0.8015, 0.5598, 0.7478)
Tl (0.3015, 0.9402, 0.2522)
Cd (0.7755, 0.9282, 0.4083)
Cd (0.7245, 0.0718, 0.9083)
Cd (0.2245, 0.4282, 0.0917)
Cd (0.2755, 0.5718, 0.5917)

---

x ends up most stable, edging out the next structure by 67 meV per atom.

---

w:
Below is a relaxed TlCdSeF crystal, with properties calculated at the GGA-PBE level.

Summary:
SG = No. 166

a b c (Å): 11.9103 11.9103 11.9103
angles (deg): 21.47 21.47 21.47
Element x y z (fractional)
Cd (0.1977, 0.1977, 0.1977)
Cd (0.8023, 0.8023, 0.8023)
F (0.6943, 0.6943, 0.6943)
F (0.3057, 0.3057, 0.3057)
Tl (0.6234, 0.6234, 0.6234)
Tl (0.3766, 0.3766, 0.3766)
Se (0.1158, 0.1158, 0.1158)
Se (0.8842, 0.8842, 0.8842)

---

x:
Below is a relaxed TlCdSeF crystal, with properties calculated at the GGA-PBE level.

Summary:
SG = No. 63

a b c (Å): 8.9547 8.9547 5.6211
angles (deg): 90.00 90.00 154.20
Element x y z (fractional)
F (0.4611, 0.5389, 0.2500)
F (0.5389, 0.4611, 0.7500)
Se (0.8725, 0.1275, 0.7500)
Se (0.1275, 0.8725, 0.2500)
Cd (0.0000, 0.0000, 0.0000)
Cd (0.0000, 0.0000, 0.5000)
Tl (0.3194, 0.6806, 0.2500)
Tl (0.6806, 0.3194, 0.7500)

---

y:
Below is a relaxed TlCdSeF crystal, with properties calculated at the GGA-PBE level.

Summary:
SG = No. 55

a b c (Å): 10.1363 19.9922 4.3548
angles (deg): 90.00 90.00 90.00
Element x y z (fractional)
Cd (0.0089, 0.5904, 0.0000)
Cd (0.1790, 0.1428, 0.0000)
Cd (0.4911, 0.0904, 0.0000)
Cd (0.9911, 0.4096, 0.0000)
Cd (0.8210, 0.8572, 0.0000)
Cd (0.3210, 0.6428, 0.0000)
Cd (0.6790, 0.3572, 0.0000)
Cd (0.5089, 0.9096, 0.0000)
Tl (0.2796, 0.4618, 0.5000)
Tl (0.8308, 0.2098, 0.5000)
Tl (0.1692, 0.7902, 0.5000)
Tl (0.3308, 0.2902, 0.5000)
Tl (0.7796, 0.0382, 0.5000)
Tl (0.6692, 0.7098, 0.5000)
Tl (0.7204, 0.5382, 0.5000)
Tl (0.2204, 0.9618, 0.5000)
F (0.2387, 0.2459, 0.0000)
F (0.2613, 0.7459, 0.0000)
F (0.3578, 0.9973, 0.0000)
F (0.1422, 0.4973, 0.0000)
F (0.7613, 0.7541, 0.0000)
F (0.7387, 0.2541, 0.0000)
F (0.8578, 0.5027, 0.0000)
F (0.6422, 0.0027, 0.0000)
Se (0.9175, 0.9046, 0.5000)
Se (0.0825, 0.0954, 0.5000)
Se (0.5825, 0.4046, 0.5000)
Se (0.5024, 0.8426, 0.5000)
Se (0.0024, 0.6574, 0.5000)
Se (0.4175, 0.5954, 0.5000)
Se (0.9976, 0.3426, 0.5000)
Se (0.4976, 0.1574, 0.5000)

---

w ends up most stable, edging out the next structure by 75 meV per atom.

---

w:
Below is a relaxed TlCdSeF crystal, with properties calculated at the GGA-PBE level.

Summary:
SG = No. 129

a b c (Å): 4.1749 4.1749 9.6519
angles (deg): 90.00 90.00 90.06
Element x y z (fractional)
Cd (0.2500, 0.7500, 0.1260)
Cd (0.7500, 0.2500, 0.8740)
Tl (0.7500, 0.7500, 0.5000)
Tl (0.2500, 0.2500, 0.5000)
Se (0.2500, 0.7500, 0.7498)
Se (0.7500, 0.2500, 0.2502)
F (0.7500, 0.7500, 0.0000)
F (0.2500, 0.2500, 0.0000)

---

x:
Below is a relaxed TlCdSeF crystal, with properties calculated at the GGA-PBE level.

Summary:
SG = No. 129

a b c (Å): 4.4568 4.4568 9.8848
angles (deg): 90.00 90.00 90.00
Element x y z (fractional)
Cd (0.7500, 0.2500, 0.5000)
Cd (0.2500, 0.7500, 0.5000)
Tl (0.7500, 0.7500, 0.1305)
Tl (0.2500, 0.2500, 0.8695)
Se (0.2500, 0.2500, 0.3403)
Se (0.7500, 0.7500, 0.6597)
F (0.2500, 0.7500, 0.0000)
F (0.7500, 0.2500, 0.0000)

---

x ends up most stable, edging out the next structure by 338 meV per atom.

---

w:
Below is a relaxed HfCdGaFe crystal, with properties calculated at the GGA-PBE level.

Summary:
SG = No. 216

a b c (Å): 4.5701 4.5701 4.5701
angles (deg): 60.00 60.00 60.00
Element x y z (fractional)
Ga (0.0000, 0.0000, 0.0000)
Cd (0.2500, 0.2500, 0.2500)
Hf (0.5000, 0.5000, 0.5000)
Fe (0.7500, 0.7500, 0.7500)

---

x:
Below is a relaxed HfCdGaFe crystal, with properties calculated at the GGA-PBE level.

Summary:
SG = No. 216

a b c (Å): 4.5910 4.5910 4.5910
angles (deg): 60.00 60.00 60.00
Element x y z (fractional)
Ga (0.0000, 0.0000, 0.0000)
Fe (0.7500, 0.7500, 0.7500)
Cd (0.5000, 0.5000, 0.5000)
Hf (0.2500, 0.2500, 0.2500)

---

w ends up most stable, edging out the next structure by 7 meV per atom.

---

w:
Below is a relaxed TaCdGaFe crystal, with properties calculated at the GGA-PBE level.

Summary:
SG = No. 216

a b c (Å): 4.4584 4.4584 4.4584
angles (deg): 60.00 60.00 60.00
Element x y z (fractional)
Fe (0.7500, 0.7500, 0.7500)
Ga (0.0000, 0.0000, 0.0000)
Cd (0.2500, 0.2500, 0.2500)
Ta (0.5000, 0.5000, 0.5000)

---

x:
Below is a relaxed TaCdGaFe crystal, with properties calculated at the GGA-PBE level.

Summary:
SG = No. 216

a b c (Å): 4.5155 4.5155 4.5155
angles (deg): 60.00 60.00 60.00
Element x y z (fractional)
Cd (0.5000, 0.5000, 0.5000)
Ga (0.0000, 0.0000, 0.0000)
Fe (0.7500, 0.7500, 0.7500)
Ta (0.2500, 0.2500, 0.2500)

---

w ends up most stable, edging out the next structure by 88 meV per atom.

---

w:
Below is a relaxed HfCdFeGe crystal, with properties calculated at the GGA-PBE level.

Summary:
SG = No. 216

a b c (Å): 4.5845 4.5845 4.5845
angles (deg): 60.00 60.00 60.00
Element x y z (fractional)
Ge (0.0000, 0.0000, 0.0000)
Fe (0.7500, 0.7500, 0.7500)
Cd (0.2500, 0.2500, 0.2500)
Hf (0.5000, 0.5000, 0.5000)

---

x:
Below is a relaxed HfCdFeGe crystal, with properties calculated at the GGA-PBE level.

Summary:
SG = No. 216

a b c (Å): 4.6052 4.6052 4.6052
angles (deg): 60.00 60.00 60.00
Element x y z (fractional)
Cd (0.5000, 0.5000, 0.5000)
Ge (0.0000, 0.0000, 0.0000)
Hf (0.2500, 0.2500, 0.2500)
Fe (0.7500, 0.7500, 0.7500)

---

x ends up most stable, edging out the next structure by 89 meV per atom.